(1)
The following is a GGA-PBE calculation of crystalline Ca3Au at its relaxed geometry, from the Alexandria database.

Cell lengths 6.295, 6.295, 6.295 Å; angles 135.12, 135.12, 65.34 degrees
Fractional coordinates of all 4 atoms:
Ca (0.250, 0.750, 0.500)
Ca (0.500, 0.500, 0.000)
Ca (0.750, 0.250, 0.500)
Au (0.000, 0.000, 0.000)

Results
The calculation puts the magnetic moment at 0.00 μB per atom. As for the total energy: -2.54 eV per atom. The formation energy comes out at -0.2169 eV per atom.

(2)
The following is a GGA-PBE calculation of crystalline Ca3Au at its relaxed geometry, from the Alexandria database.

Cell lengths 5.471, 5.471, 5.471 Å; angles 60.00, 60.00, 60.00 degrees
Fractional coordinates of all 4 atoms:
Ca (0.250, 0.250, 0.250)
Ca (0.750, 0.750, 0.750)
Ca (0.500, 0.500, 0.500)
Au (0.000, 0.000, 0.000)

Results
The calculation puts the magnetic moment at 0.00 μB per atom. As for the total energy: -2.52 eV per atom. The formation energy comes out at -0.1964 eV per atom.